(1)
As2PAuSe (PBE, relaxed); raw formation energy = 0.767 eV per atom; space group = P4/mmm, No. 123; ΔE to the lowest computed polymorph = 0 meV/atom; E_tot = -3.5272 eV/atom
1.0
4.7392 0.0000 0.0000
0.0000 4.7392 0.0000
0.0000 0.0000 4.8633
As P Au Se
2 1 1 1
Cartesian
0.0000 2.3696 0.0000
2.3696 0.0000 0.0000
0.0000 0.0000 0.0000
2.3696 2.3696 2.4316
0.0000 0.0000 2.4316

(2)
SnAsPAu2 (PBE, relaxed); space group = P4/mmm, No. 123; E_tot = -3.1017 eV/atom; energy of formation = 1022 meV/atom
1.0
5.1377 0.0000 0.0000
0.0000 5.1377 0.0000
0.0000 0.0000 5.1029
Sn As P Au
1 1 1 2
Cartesian
0.0000 0.0000 0.0000
2.5689 2.5689 2.5514
0.0000 0.0000 2.5514
0.0000 2.5689 0.0000
2.5689 0.0000 0.0000

(3)
Sr3AsP2Au6 (PBE, relaxed); space group = P-3m1, No. 164; E_tot = -3.8162 eV/atom; energy of formation = -468 meV/atom
1.0
6.7907 0.0000 0.0000
-3.3954 5.8810 0.0000
0.0000 0.0000 8.0045
Sr As P Au
3 1 2 6
Cartesian
0.0000 0.0000 0.0000
0.0000 3.9206 5.7143
3.3954 1.9603 2.2901
0.0000 0.0000 4.0022
0.0000 3.9206 1.0420
3.3954 1.9603 6.9625
0.0000 1.9883 2.3991
-1.6735 4.8868 2.3991
1.7219 0.9941 5.6054
1.6735 4.8868 2.3991
5.0688 0.9941 5.6054
3.3954 3.8927 5.6054

(4)
TcAsPAu2 (PBE, relaxed); space group = P4/mmm, No. 123; E_tot = -4.2112 eV/atom; energy of formation = 1185 meV/atom
1.0
5.1010 0.0000 0.0000
0.0000 5.1010 0.0000
0.0000 0.0000 4.5947
Tc As P Au
1 1 1 2
Cartesian
0.0000 0.0000 0.0000
0.0000 0.0000 2.2973
2.5505 2.5505 2.2973
0.0000 2.5505 0.0000
2.5505 0.0000 0.0000

(5)
Th4AsP2Au (PBE, relaxed); space group = P2/m, No. 10; E_tot = -7.2826 eV/atom; energy of formation = -1229 meV/atom
1.0
7.3153 0.0000 0.0000
0.0000 4.1575 0.0000
-2.4074 0.0000 6.9574
Th As P Au
4 1 2 1
Cartesian
1.2078 0.0000 1.6444
-0.0090 2.0788 5.3141
4.9170 2.0788 1.6432
3.7001 0.0000 5.3130
-1.2037 0.0000 3.4787
0.0000 2.0788 0.0000
3.6576 0.0000 0.0000
2.4540 2.0788 3.4787

(6)
PaAsAu2 (PBE, relaxed); space group = R-3m, No. 166; E_tot = -4.8758 eV/atom; energy of formation = 299 meV/atom
1.0
1.4915 0.8611 10.9483
-1.4915 0.8611 10.9483
0.0000 -1.7222 10.9483
Pa As Au
1 1 2
Cartesian
0.0000 0.0000 0.0000
0.0000 0.0000 16.4225
0.0000 0.0000 3.0342
0.0000 0.0000 29.8107